# 1
YNbPt3: optimized geometry, PBE-GGA.

a = 4.9647 Å, b = 4.9647 Å, c = 4.9647 Å
α = 90.00°, β = 90.00°, γ = 90.00°
With the nearest neighbours (Å) after each atom.
Element x y z (fractional)
Y (0.0000, 0.0000, 0.0000)  6 Pt 2.48
Pt (0.0000, 0.0000, 0.5000)  2 Y 2.48
Pt (0.0000, 0.5000, 0.0000)  2 Y 2.48
Pt (0.5000, 0.0000, 0.0000)  2 Y 2.48
Nb (0.5000, 0.5000, 0.5000)  12 Pt 3.51

Summary:
energy above the most stable polymorph in this dataset: 561 kJ/mol of formula units
calculated formation energy: 1.138 eV/atom
space group: Pm-3m
total DFT energy (no corrections): -5.793 eV/atom

# 2
Ba2Ca6Pt: optimized geometry, PBE-GGA.

a = 8.1800 Å, b = 8.1800 Å, c = 8.1810 Å
α = 59.99°, β = 59.99°, γ = 60.01°
With the nearest neighbours (Å) after each atom.
Element x y z (fractional)
Ca (0.7457, 0.7457, 0.2546)  1 Pt 2.84
Ca (0.2543, 0.7456, 0.7457)  1 Pt 2.84
Ca (0.7457, 0.2544, 0.2543)  1 Pt 2.84
Ca (0.2544, 0.7457, 0.2543)  1 Pt 2.84
Ca (0.2543, 0.2543, 0.7454)  1 Pt 2.84
Ca (0.7456, 0.2543, 0.7457)  1 Pt 2.84
Pt (0.5000, 0.5000, 0.5000)  6 Ca 2.84
Ba (0.7500, 0.7500, 0.7502)  12 Ca 4.09
Ba (0.2500, 0.2500, 0.2498)  12 Ca 4.09

Summary:
calculated formation energy: -0.264 eV/atom
space group: Fm-3m
total DFT energy (no corrections): -2.697 eV/atom

# 3
SrNbCd2Ag: optimized geometry, PBE-GGA.

a = 5.5022 Å, b = 6.0498 Å, c = 5.5022 Å
α = 90.00°, β = 90.00°, γ = 90.00°
With the nearest neighbours (Å) after each atom.
Element x y z (fractional)
Cd (0.5000, 0.0000, 0.0000)  2 Nb 2.75
Cd (0.0000, 0.0000, 0.5000)  2 Nb 2.75
Nb (0.0000, 0.0000, 0.0000)  4 Cd 2.75, 2 Sr 3.02
Sr (0.0000, 0.5000, 0.0000)  2 Nb 3.02
Ag (0.5000, 0.5000, 0.5000)  4 Sr 3.89, 8 Cd 4.09

Summary:
calculated formation energy: 0.979 eV/atom
space group: P4/mmm
total DFT energy (no corrections): -2.308 eV/atom